No. 1
Si2PSe: optimized geometry, PBE.

Cell lengths 3.250, 4.249, 9.839 Å; angles 90.00, 90.00, 90.00 degrees
Space group Cmmm (No. 65)
Symmetry-distinct sites (fractional):
1 Si 0.000 0.000 0.212
2 P 0.000 0.500 0.000
3 Se 0.000 0.500 0.500

* E_tot: -35.08 eV for the cell shown
* Fermi-level density of states: 0.388 states/eV per atom
* uncorrected formation energy: 550 meV/atom
* polymorph energy (0 for the lowest one): 595 meV/atom

---

No. 2
Si2PSe: optimized geometry, PBE.

Cell lengths 3.121, 4.490, 4.675 Å; angles 90.00, 90.00, 90.00 degrees
Space group Pmmm (No. 47)
Symmetry-distinct sites (fractional):
1 Si 0.000 0.000 0.000
2 Si 0.500 0.500 0.000
3 P 0.000 0.500 0.500
4 Se 0.500 0.000 0.500

* E_tot: -17.30 eV for the cell shown
* Fermi-level density of states: 0.415 states/eV per atom
* uncorrected formation energy: 610 meV/atom
* polymorph energy (0 for the lowest one): 655 meV/atom

---

No. 3
Si2PSe: optimized geometry, PBE.

Cell lengths 3.573, 3.763, 10.351 Å; angles 90.00, 90.00, 90.00 degrees
Space group Immm (No. 71)
Symmetry-distinct sites (fractional):
1 Si 0.000 0.000 0.239
2 P 0.000 0.000 0.000
3 Se 0.000 0.000 0.500

* E_tot: -37.27 eV for the cell shown
* Fermi-level density of states: 0.494 states/eV per atom
* uncorrected formation energy: 276 meV/atom
* polymorph energy (0 for the lowest one): 321 meV/atom

---

No. 4
Si2PSe: optimized geometry, PBE.

Cell lengths 3.415, 3.980, 10.574 Å; angles 90.00, 90.00, 90.00 degrees
Space group Cmm2 (No. 35)
Symmetry-distinct sites (fractional):
1 Si 0.000 0.000 0.000
2 Si 0.000 0.500 0.199
3 P 0.000 0.500 0.816
4 Se 0.000 0.000 0.493

* E_tot: -35.33 eV for the cell shown
* Fermi-level density of states: 0.412 states/eV per atom
* uncorrected formation energy: 519 meV/atom
* polymorph energy (0 for the lowest one): 564 meV/atom